[1]
## Sr3As2O8 (GGA-PBEsol)

Data for an optimized crystal structure of Sr3As2O8.

a = 5.9373 Å, b = 7.3194 Å, c = 10.4766 Å
α = 90.00°, β = 90.00°, γ = 89.87°
Closest atoms and distances in Å follow each position.
Fractional positions:
As: 0.9987 0.1795 0.6918  4 O 1.70-1.72
As: 0.5013 0.3205 0.1918  4 O 1.70-1.72
As: 0.4987 0.6795 0.8082  4 O 1.70-1.72
As: 0.0013 0.8205 0.3082  4 O 1.70-1.72
Sr: 0.0000 0.5000 0.0000  6 O 2.44-2.57
Sr: 0.9819 0.3226 0.3590  5 O 2.44-2.59
Sr: 0.4819 0.8226 0.1410  5 O 2.44-2.59
Sr: 0.0181 0.6774 0.6410  5 O 2.44-2.59
Sr: 0.5181 0.1774 0.8590  5 O 2.44-2.59
Sr: 0.5000 0.0000 0.5000  6 O 2.44-2.57
O: 0.5664 0.2691 0.3471  1 As 1.71
O: 0.7759 0.6234 0.8250  1 As 1.70
O: 0.0608 0.6441 0.4099  1 As 1.71
O: 0.3312 0.4976 0.8515  1 As 1.72
O: 0.2241 0.3766 0.1750  1 As 1.70
O: 0.1688 0.0024 0.3515  1 As 1.72
O: 0.0664 0.7691 0.1529  1 As 1.71
O: 0.5608 0.1441 0.0901  1 As 1.71
O: 0.6688 0.5024 0.1485  1 As 1.72
O: 0.9392 0.3559 0.5901  1 As 1.71
O: 0.7241 0.8766 0.3250  1 As 1.70
O: 0.8312 0.9976 0.6485  1 As 1.72
O: 0.4336 0.7309 0.6529  1 As 1.71
O: 0.9336 0.2309 0.8471  1 As 1.71
O: 0.4392 0.8559 0.9099  1 As 1.71
O: 0.2759 0.1234 0.6750  1 As 1.70

Results
V = 455.3 Å³ per cell
M_tot = 0.003 μB per formula unit
E_tot = -6.6839 eV per atom
D(E_F) = 0.00 states/eV/f.u.
SG = P2_1/c, No. 14
ΔE_f (raw) = -2243 meV per atom


[2]
## Al2CdTe (GGA-PBEsol)

Data for an optimized crystal structure of Al2CdTe.

a = 3.0234 Å, b = 3.0234 Å, c = 9.9588 Å
α = 90.00°, β = 90.00°, γ = 107.65°
Closest atoms and distances in Å follow each position.
Fractional positions:
Te: 0.5000 0.5000 0.0000  4 Te 3.02, 4 Al 3.17
Al: 0.0000 0.0000 0.2631  2 Cd 2.96, 4 Al 3.02, 2 Te 3.17
Al: 0.0000 0.0000 0.7369  2 Cd 2.96, 4 Al 3.02, 2 Te 3.17
Cd: 0.5000 0.5000 0.5000  4 Al 2.96, 4 Cd 3.02

Results
V = 86.7 Å³ per cell
M_tot = 0.000 μB per formula unit
E_tot = -2.9737 eV per atom
D(E_F) = 1.87 states/eV/f.u.
SG = Cmmm, No. 65
ΔE_f (raw) = 253 meV per atom


[3]
## Ba2ZrOs (GGA-PBEsol)

Data for an optimized crystal structure of Ba2ZrOs.

a = 3.3755 Å, b = 3.3755 Å, c = 11.4116 Å
α = 81.49°, β = 81.49°, γ = 60.00°
Closest atoms and distances in Å follow each position.
Fractional positions:
Zr: 0.0000 0.0000 0.0000  6 Zr 3.38
Ba: 0.7631 0.7631 0.7106  3 Os 3.07, 6 Ba 3.38
Ba: 0.2369 0.2369 0.2894  3 Os 3.07, 6 Ba 3.38
Os: 0.5000 0.5000 0.5000  6 Ba 3.07, 6 Os 3.38

Results
V = 111.0 Å³ per cell
M_tot = 0.002 μB per formula unit
E_form = 1.167 eV per atom
E_tot = -5.2337 eV per atom
D(E_F) = 5.91 states/eV/f.u.
SG = R-3m, No. 166


[4]
## In2Ag2Hg (GGA-PBEsol)

Data for an optimized crystal structure of In2Ag2Hg.

a = 4.1294 Å, b = 4.1294 Å, c = 7.1882 Å
α = 106.69°, β = 106.69°, γ = 90.00°
Closest atoms and distances in Å follow each position.
Fractional positions:
In: 0.7500 0.2500 0.5000  4 Ag 2.85, 4 In 2.92
In: 0.2500 0.7500 0.5000  4 Ag 2.85, 4 In 2.92
Ag: 0.3996 0.3996 0.7992  1 Ag 2.64, 4 In 2.85
Ag: 0.6004 0.6004 0.2008  1 Ag 2.64, 4 In 2.85
Hg: 0.0000 0.0000 0.0000  8 Ag 3.20

Results
V = 112.0 Å³ per cell
M_tot = 0.000 μB per formula unit
E_form = 0.162 eV per atom
E_tot = -2.4689 eV per atom
D(E_F) = 2.15 states/eV/f.u.
SG = I4/mmm, No. 139